(1)
The following is a meta-GGA SCAN calculation of CaScNi4 at its PBEsol-relaxed geometry, from Alexandria.

The structure in POSCAR format:
```
CaScNi4
1.0
0.000 3.463 3.463
3.463 0.000 3.463
3.463 3.463 0.000
Ca Sc Ni
1 1 4
direct
0.000 0.000 0.000
0.250 0.250 0.250
0.126 0.625 0.625
0.625 0.126 0.625
0.625 0.625 0.126
0.625 0.625 0.625
```

Total moment ... 0.0 Bohr magnetons per cell
Formation energy ... -295 meV per atom

(2)
The following is a meta-GGA SCAN calculation of CaSc2Ni at its PBEsol-relaxed geometry, from Alexandria.

The structure in POSCAR format:
```
CaSc2Ni
1.0
-1.641 2.605 5.160
1.641 -2.605 5.160
1.641 2.605 -5.160
Ca Sc Ni
1 2 1
direct
0.000 0.000 0.000
0.308 0.808 0.500
0.692 0.192 0.500
0.500 0.500 0.000
```

Total moment ... 0.0 Bohr magnetons per cell
Formation energy ... -68 meV per atom
E above lowest polymorph ... 0.000 eV/atom

(3)
The following is a meta-GGA SCAN calculation of CaSc2Ni at its PBEsol-relaxed geometry, from Alexandria.

The structure in POSCAR format:
```
CaSc2Ni
1.0
-2.072 2.072 4.833
2.072 -2.072 4.833
2.072 2.072 -4.833
Ca Sc Ni
1 2 1
direct
0.000 0.000 0.000
0.250 0.750 0.500
0.500 0.500 0.000
0.750 0.250 0.500
```

Total moment ... 0.0 Bohr magnetons per cell
Formation energy ... 300 meV per atom
E above lowest polymorph ... 0.367 eV/atom

(4)
The following is a meta-GGA SCAN calculation of CaSc2Ni at its PBEsol-relaxed geometry, from Alexandria.

The structure in POSCAR format:
```
CaSc2Ni
1.0
-1.678 2.465 5.252
1.678 -2.465 5.252
1.678 2.465 -5.252
Ca Sc Ni
1 2 1
direct
0.000 0.000 0.000
0.387 0.387 0.000
0.699 0.199 0.500
0.215 0.715 0.500
```

Total moment ... 0.8 Bohr magnetons per cell
Formation energy ... 1 meV per atom
E above lowest polymorph ... 0.068 eV/atom

(5)
The following is a meta-GGA SCAN calculation of Ca2ScNi at its PBEsol-relaxed geometry, from Alexandria.

The structure in POSCAR format:
```
Ca2ScNi
1.0
-2.149 2.149 5.046
2.149 -2.149 5.046
2.149 2.149 -5.046
Ca Sc Ni
2 1 1
direct
0.250 0.750 0.500
0.750 0.250 0.500
0.000 0.000 0.000
0.500 0.500 0.000
```

Total moment ... 0.0 Bohr magnetons per cell
Formation energy ... 391 meV per atom
E above lowest polymorph ... 0.469 eV/atom

(6)
The following is a meta-GGA SCAN calculation of Ca2ScNi at its PBEsol-relaxed geometry, from Alexandria.

The structure in POSCAR format:
```
Ca2ScNi
1.0
2.364 -2.371 0.000
2.364 2.371 0.000
0.000 0.000 8.821
Ca Sc Ni
2 1 1
direct
0.000 0.000 0.189
0.000 0.000 0.811
0.500 0.500 0.500
0.500 0.500 0.000
```

Total moment ... 0.9 Bohr magnetons per cell
Formation energy ... 175 meV per atom
E above lowest polymorph ... 0.252 eV/atom

(7)
The following is a meta-GGA SCAN calculation of Ca2ScNi at its PBEsol-relaxed geometry, from Alexandria.

The structure in POSCAR format:
```
Ca2ScNi
1.0
-1.717 2.744 5.427
1.717 -2.744 5.427
1.717 2.744 -5.427
Ca Sc Ni
2 1 1
direct
0.000 0.000 0.000
0.688 0.188 0.500
0.369 0.369 0.000
0.210 0.710 0.500
```

Total moment ... 0.6 Bohr magnetons per cell
Formation energy ... 21 meV per atom
E above lowest polymorph ... 0.098 eV/atom

(8)
The following is a meta-GGA SCAN calculation of CaSc2Ni at its PBEsol-relaxed geometry, from Alexandria.

The structure in POSCAR format:
```
CaSc2Ni
1.0
3.705 0.000 0.000
0.000 4.723 0.000
0.000 0.000 4.752
Ca Sc Ni
1 2 1
direct
0.000 0.000 0.000
0.000 0.500 0.500
0.500 0.000 0.500
0.500 0.500 0.000
```

Total moment ... 0.0 Bohr magnetons per cell
Formation energy ... 231 meV per atom
E above lowest polymorph ... 0.298 eV/atom